Record 1
# GGA-PBE Pm2Dy4YMg, relaxed
data_Pm2Dy4YMg
_symmetry_space_group_name_H-M 'P 1'
_symmetry_Int_Tables_number 1
_cell_length_a 4.977
_cell_length_b 4.989
_cell_length_c 11.276
_cell_angle_alpha 63.74
_cell_angle_beta 90.00
_cell_angle_gamma 90.00
loop_
_symmetry_equiv_pos_as_xyz
'x,y,z'
loop_
_atom_site_label
_atom_site_type_symbol
_atom_site_fract_x
_atom_site_fract_y
_atom_site_fract_z
Pm1 Pm 0.000 0.000 0.000
Pm2 Pm 0.500 0.000 0.500
Dy1 Dy 0.000 0.749 0.752
Dy2 Dy 0.000 0.251 0.248
Dy3 Dy 0.500 0.751 0.248
Dy4 Dy 0.500 0.249 0.752
Y1 Y 0.000 0.500 0.500
Mg1 Mg 0.500 0.500 0.000
# SG: No. 47
# crystal system: orthorhombic


Record 2
# GGA-PBE Pm6Dy2YMg, relaxed
data_Pm6Dy2YMg
_symmetry_space_group_name_H-M 'P 1'
_symmetry_Int_Tables_number 1
_cell_length_a 9.276
_cell_length_b 8.976
_cell_length_c 8.976
_cell_angle_alpha 118.04
_cell_angle_beta 92.33
_cell_angle_gamma 92.33
loop_
_symmetry_equiv_pos_as_xyz
'x,y,z'
loop_
_atom_site_label
_atom_site_type_symbol
_atom_site_fract_x
_atom_site_fract_y
_atom_site_fract_z
Pm1 Pm 0.052 0.136 0.779
Pm2 Pm 0.448 0.221 0.864
Pm3 Pm 0.948 0.864 0.221
Pm4 Pm 0.552 0.779 0.136
Pm5 Pm 0.298 0.004 0.433
Pm6 Pm 0.202 0.567 0.996
Pm7 Pm 0.702 0.996 0.567
Pm8 Pm 0.798 0.433 0.004
Pm9 Pm 0.105 0.721 0.499
Pm10 Pm 0.395 0.501 0.279
Pm11 Pm 0.895 0.279 0.501
Pm12 Pm 0.605 0.499 0.721
Dy1 Dy 0.451 0.791 0.681
Dy2 Dy 0.049 0.319 0.209
Dy3 Dy 0.549 0.209 0.319
Dy4 Dy 0.951 0.681 0.791
Y1 Y 0.250 0.976 0.024
Y2 Y 0.750 0.024 0.976
Mg1 Mg 0.250 0.420 0.580
Mg2 Mg 0.750 0.580 0.420
# SG: No. 15
# crystal system: monoclinic


Record 3
# GGA-PBE Pm4Dy2YMg, relaxed
data_Pm4Dy2YMg
_symmetry_space_group_name_H-M 'P 1'
_symmetry_Int_Tables_number 1
_cell_length_a 5.055
_cell_length_b 5.061
_cell_length_c 11.205
_cell_angle_alpha 63.13
_cell_angle_beta 90.00
_cell_angle_gamma 90.00
loop_
_symmetry_equiv_pos_as_xyz
'x,y,z'
loop_
_atom_site_label
_atom_site_type_symbol
_atom_site_fract_x
_atom_site_fract_y
_atom_site_fract_z
Pm1 Pm 0.000 0.745 0.755
Pm2 Pm 0.000 0.255 0.245
Pm3 Pm 0.500 0.754 0.245
Pm4 Pm 0.500 0.246 0.755
Dy1 Dy 0.000 0.000 0.000
Dy2 Dy 0.500 0.000 0.500
Y1 Y 0.000 0.500 0.500
Mg1 Mg 0.500 0.500 0.000
# SG: No. 123
# crystal system: tetragonal


Record 4
# GGA-PBE Pm2Dy2YMg5, relaxed
data_Pm2Dy2YMg5
_symmetry_space_group_name_H-M 'P 1'
_symmetry_Int_Tables_number 1
_cell_length_a 5.080
_cell_length_b 10.623
_cell_length_c 10.623
_cell_angle_alpha 90.00
_cell_angle_beta 90.00
_cell_angle_gamma 90.00
loop_
_symmetry_equiv_pos_as_xyz
'x,y,z'
loop_
_atom_site_label
_atom_site_type_symbol
_atom_site_fract_x
_atom_site_fract_y
_atom_site_fract_z
Pm1 Pm 0.000 0.677 0.177
Pm2 Pm 0.000 0.323 0.823
Pm3 Pm 0.000 0.177 0.323
Pm4 Pm 0.000 0.823 0.677
Dy1 Dy 0.000 0.120 0.620
Dy2 Dy 0.000 0.880 0.380
Dy3 Dy 0.000 0.620 0.880
Dy4 Dy 0.000 0.380 0.120
Y1 Y 0.000 0.000 0.000
Y2 Y 0.000 0.500 0.500
Mg1 Mg 0.500 0.198 0.069
Mg2 Mg 0.500 0.802 0.931
Mg3 Mg 0.500 0.069 0.802
Mg4 Mg 0.500 0.698 0.431
Mg5 Mg 0.500 0.931 0.198
Mg6 Mg 0.500 0.302 0.569
Mg7 Mg 0.500 0.569 0.698
Mg8 Mg 0.500 0.431 0.302
Mg9 Mg 0.500 0.500 0.000
Mg10 Mg 0.500 0.000 0.500
# SG: No. 127
# crystal system: tetragonal


The formation enthalpy at 0 K results, record by record, are as follows: 0.027 0.116 0.009 0.032 eV per atom.
The magnetic moment results, record by record, are as follows: 0.000 0.000 0.000 0.000 μB per atom.
The calculated total energy results, record by record, are as follows: -4.469 -4.461 -4.524 -3.283 eV per atom.